Here is a geometry-optimized ScTeAs structure from Alexandria via LeMat-Bulk. Energies are from GGA-PBE.

Geometry as extended XYZ:
```
6
Lattice="2.1316 1.2307 11.0737 -2.1316 1.2307 11.0737 0.0000 -2.4614 11.0737" Properties=species:S:1:pos:R:3 pbc="T T T"
Sc 0.0000 0.0000 2.0895
Sc 0.0000 0.0000 31.1315
Te 0.0000 0.0000 7.4538
Te 0.0000 0.0000 25.7672
As 0.0000 0.0000 11.3642
As 0.0000 0.0000 21.8567
```

Computed properties:
Magnetic moment (μB/atom): 0.0000
Energy relative to the elements, uncorrected (meV per atom): -661
Space group: R-3m (166)